Entry 1:
Pa2AgBi: relaxed, GGA-PBE.

Properties
raw total energy: -6.0256 eV/atom
magnetic moment: 0.846 μB/f.u.

Cell: 3.189 3.189 12.191 Å, 82.48 82.48 60.00°
Fractional positions:
Pa  0.087  0.087  0.740
Pa  0.913  0.913  0.260
Bi  0.500  0.500  0.500
Ag  0.000  0.000  0.000



Entry 2:
PaAg2Bi: relaxed, GGA-PBE.

Properties
raw total energy: -4.6104 eV/atom
magnetic moment: 0.887 μB/f.u.

Cell: 5.119 5.119 5.119 Å, 60.00 60.00 60.00°
Fractional positions:
Pa  0.000  0.000  0.000
Bi  0.500  0.500  0.500
Ag  0.250  0.250  0.250
Ag  0.750  0.750  0.750



Entry 3:
PaAgBi2: relaxed, GGA-PBE.

Properties
raw total energy: -4.9574 eV/atom
magnetic moment: 0.001 μB/f.u.

Cell: 4.047 4.047 6.657 Å, 90.00 90.00 90.00°
Fractional positions:
Pa  0.500  0.500  0.500
Bi  0.000  0.000  0.746
Bi  0.000  0.000  0.254
Ag  0.500  0.500  0.000



Entry 4:
PaAg2Bi: relaxed, GGA-PBE.

Properties
raw total energy: -4.6761 eV/atom
magnetic moment: 0.895 μB/f.u.

Cell: 4.848 4.464 4.464 Å, 90.00 90.00 90.00°
Fractional positions:
Pa  0.500  0.000  0.000
Bi  0.500  0.500  0.500
Ag  0.000  0.000  0.500
Ag  0.000  0.500  0.000



Computed V, in the same sequence as the records: 106.15 94.87 109.03 96.61 Å³ per cell.